# Ta2Mn2Be15 | Alexandria | PBE | optimized geometry
# Total magnetic moment: 0.000 μB/atom
# Energy relative to the elements: -0.20 eV per atom
data_Ta2Mn2Be15
_cell_length_a 7.5085
_cell_length_b 7.5085
_cell_length_c 10.7065
_cell_angle_alpha 90.00
_cell_angle_beta 90.00
_cell_angle_gamma 120.00
_symmetry_space_group_name_H-M 'R -3 m'
_symmetry_Int_Tables_number 166
_symmetry_space_group_name_Hall '-R 3 2"'
loop_
_atom_site_label
_atom_site_type_symbol
_atom_site_fract_x
_atom_site_fract_y
_atom_site_fract_z
Ta1 Ta 0.0000 0.0000 0.1511
Mn1 Mn 0.0000 0.0000 0.4012
Be1 Be 0.0000 0.2890 0.5000
Be2 Be 0.0000 0.5000 0.0000
Be3 Be 0.0019 0.5010 0.6547